# 1
# MnTc3Mo, optimized geometry, DFT GGA-PBE
data_MnTc3Mo
_space_group_name_H-M_alt 'P m -3 m'
_space_group_IT_number 221
_space_group_name_Hall '-P 4 2 3'
_cell_length_a 4.353
_cell_length_b 4.353
_cell_length_c 4.353
_cell_angle_alpha 90.00
_cell_angle_beta 90.00
_cell_angle_gamma 90.00
loop_
_atom_site_label
_atom_site_type_symbol
_atom_site_fract_x
_atom_site_fract_y
_atom_site_fract_z
Mn1 Mn 0.000 0.000 0.000
Tc1 Tc 0.000 0.000 0.500
Mo1 Mo 0.500 0.500 0.500
# ΔE to the lowest computed polymorph: 0.00 eV/f.u.


# 2
A relaxed MnTc2Mo crystal. Source: Alexandria, functional GGA-PBE.

```
data_MnTc2Mo
_space_group_name_H-M_alt 'A m a 2'
_space_group_IT_number 40
_cell_length_a 4.941
_cell_length_b 6.951
_cell_length_c 6.819
_cell_angle_alpha 90.00
_cell_angle_beta 90.00
_cell_angle_gamma 90.00
loop_
_space_group_symop_operation_xyz
'x,y,z'
'-x,-y,z'
'-x+1/2,y,z'
'x+1/2,-y,z'
'x,y+1/2,z+1/2'
'-x,-y+1/2,z+1/2'
'-x+1/2,y+1/2,z+1/2'
'x+1/2,-y+1/2,z+1/2'
loop_
_atom_site_label
_atom_site_type_symbol
_atom_site_fract_x
_atom_site_fract_y
_atom_site_fract_z
Mn1 Mn 0.250 0.120 0.000
Tc1 Tc 0.000 0.000 0.637
Tc2 Tc 0.250 0.374 0.753
Mo1 Mo 0.250 0.249 0.382
```


# 3
# Mn2TcMo, optimized geometry, DFT GGA-PBE
data_Mn2TcMo
_space_group_name_H-M_alt 'P m m m'
_space_group_IT_number 47
_cell_length_a 3.093
_cell_length_b 4.147
_cell_length_c 4.233
_cell_angle_alpha 90.00
_cell_angle_beta 90.00
_cell_angle_gamma 90.00
loop_
_space_group_symop_operation_xyz
'x,y,z'
'-x,-y,-z'
'-x,-y,z'
'x,y,-z'
'x,-y,-z'
'-x,y,z'
'-x,y,-z'
'x,-y,z'
loop_
_atom_site_label
_atom_site_type_symbol
_atom_site_fract_x
_atom_site_fract_y
_atom_site_fract_z
Mn1 Mn 0.000 0.000 0.000
Mn2 Mn 0.500 0.000 0.500
Tc1 Tc 0.000 0.500 0.500
Mo1 Mo 0.500 0.500 0.000
# ΔE to the lowest computed polymorph: 0.00 eV/f.u.


# 4
# MnTcMo, optimized geometry, DFT GGA-PBE
data_MnTcMo
_space_group_name_H-M_alt 'F d d d'
_space_group_IT_number 70
_cell_length_a 4.787
_cell_length_b 8.349
_cell_length_c 16.835
_cell_angle_alpha 90.00
_cell_angle_beta 90.00
_cell_angle_gamma 90.00
loop_
_space_group_symop_operation_xyz
'x,y,z'
'-x,-y,-z'
'-x+1/4,-y+1/4,z'
'x+1/4,y+1/4,-z'
'x,-y+1/4,-z+1/4'
'-x,y+1/4,z+1/4'
'-x+1/4,y,-z+1/4'
'x+1/4,-y,z+1/4'
'x,y+1/2,z+1/2'
'-x,-y+1/2,-z+1/2'
'-x+1/4,-y+3/4,z+1/2'
'x+1/4,y+3/4,-z+1/2'
'x,-y+3/4,-z+3/4'
'-x,y+3/4,z+3/4'
'-x+1/4,y+1/2,-z+3/4'
'x+1/4,-y+1/2,z+3/4'
'x+1/2,y,z+1/2'
'-x+1/2,-y,-z+1/2'
'-x+3/4,-y+1/4,z+1/2'
'x+3/4,y+1/4,-z+1/2'
'x+1/2,-y+1/4,-z+3/4'
'-x+1/2,y+1/4,z+3/4'
'-x+3/4,y,-z+3/4'
'x+3/4,-y,z+3/4'
'x+1/2,y+1/2,z'
'-x+1/2,-y+1/2,-z'
'-x+3/4,-y+3/4,z'
'x+3/4,y+3/4,-z'
'x+1/2,-y+3/4,-z+1/4'
'-x+1/2,y+3/4,z+1/4'
'-x+3/4,y+1/2,-z+1/4'
'x+3/4,-y+1/2,z+1/4'
loop_
_atom_site_label
_atom_site_type_symbol
_atom_site_fract_x
_atom_site_fract_y
_atom_site_fract_z
Mn1 Mn 0.125 0.125 0.005
Tc1 Tc 0.125 0.300 0.125
Mo1 Mo 0.125 0.125 0.546
# ΔE to the lowest computed polymorph: 0.04 eV/f.u.


# 5
A relaxed MnTc2Mo crystal. Source: Alexandria, functional GGA-PBE.

```
data_MnTc2Mo
_space_group_name_H-M_alt 'A m a 2'
_space_group_IT_number 40
_cell_length_a 4.155
_cell_length_b 8.191
_cell_length_c 6.704
_cell_angle_alpha 90.00
_cell_angle_beta 90.00
_cell_angle_gamma 90.00
loop_
_space_group_symop_operation_xyz
'x,y,z'
'-x,-y,z'
'-x+1/2,y,z'
'x+1/2,-y,z'
'x,y+1/2,z+1/2'
'-x,-y+1/2,z+1/2'
'-x+1/2,y+1/2,z+1/2'
'x+1/2,-y+1/2,z+1/2'
loop_
_atom_site_label
_atom_site_type_symbol
_atom_site_fract_x
_atom_site_fract_y
_atom_site_fract_z
Mn1 Mn 0.250 0.123 0.000
Tc1 Tc 0.250 0.122 0.557
Tc2 Tc 0.250 0.404 0.761
Mo1 Mo 0.250 0.354 0.290
```


# 6
A relaxed MnTc2Mo crystal. Source: Alexandria, functional GGA-PBE.

```
data_MnTc2Mo
_space_group_name_H-M_alt 'C 1 2 1'
_space_group_IT_number 5
_cell_length_a 9.117
_cell_length_b 4.500
_cell_length_c 5.784
_cell_angle_alpha 90.00
_cell_angle_beta 108.45
_cell_angle_gamma 90.00
loop_
_space_group_symop_operation_xyz
'x,y,z'
'-x,y,-z'
'x+1/2,y+1/2,z'
'-x+1/2,y+1/2,-z'
loop_
_atom_site_label
_atom_site_type_symbol
_atom_site_fract_x
_atom_site_fract_y
_atom_site_fract_z
Mn1 Mn 0.000 0.000 0.000
Mn2 Mn 0.000 0.009 0.500
Tc1 Tc 0.002 0.479 0.253
Tc2 Tc 0.229 0.891 0.364
Mo1 Mo 0.230 0.897 0.863
```


# 7
A relaxed MnTc2Mo crystal. Source: Alexandria, functional GGA-PBE.

```
data_MnTc2Mo
_space_group_name_H-M_alt 'P 1 m 1'
_space_group_IT_number 6
_cell_length_a 4.850
_cell_length_b 4.906
_cell_length_c 4.892
_cell_angle_alpha 90.00
_cell_angle_beta 90.12
_cell_angle_gamma 90.00
loop_
_space_group_symop_operation_xyz
'x,y,z'
'x,-y,z'
loop_
_atom_site_label
_atom_site_type_symbol
_atom_site_fract_x
_atom_site_fract_y
_atom_site_fract_z
Mn1 Mn 0.000 0.000 0.000
Mn2 Mn 0.249 0.000 0.503
Tc1 Tc 0.010 0.500 0.754
Tc2 Tc 0.497 0.242 0.008
Tc3 Tc 0.759 0.000 0.501
Mo1 Mo 0.004 0.500 0.248
Mo2 Mo 0.501 0.500 0.511
```


# 8
A relaxed MnTc2Mo crystal. Source: Alexandria, functional GGA-PBE.

```
data_MnTc2Mo
_space_group_name_H-M_alt 'P 1 m 1'
_space_group_IT_number 6
_cell_length_a 5.312
_cell_length_b 4.380
_cell_length_c 5.323
_cell_angle_alpha 90.00
_cell_angle_beta 110.50
_cell_angle_gamma 90.00
loop_
_space_group_symop_operation_xyz
'x,y,z'
'x,-y,z'
loop_
_atom_site_label
_atom_site_type_symbol
_atom_site_fract_x
_atom_site_fract_y
_atom_site_fract_z
Mn1 Mn 0.000 0.000 0.000
Mn2 Mn 0.256 0.500 0.739
Tc1 Tc 0.252 0.500 0.235
Tc2 Tc 0.494 0.000 0.509
Tc3 Tc 0.499 0.000 0.004
Tc4 Tc 0.759 0.500 0.747
Mo1 Mo 0.004 0.000 0.505
Mo2 Mo 0.755 0.500 0.242
```


Number 1: ΔH_f (0 K) 28.4 kcal/mol of atoms, total moment 0.00 μB/f.u., energy -8.99 eV per atom. Number 2: ΔH_f (0 K) 3.1 kcal/mol of atoms, total moment 2.55 μB/f.u., energy -10.05 eV per atom. Number 3: ΔH_f (0 K) 2.1 kcal/mol of atoms, total moment 2.99 μB/f.u., energy -9.79 eV per atom. Number 4: ΔH_f (0 K) 2.4 kcal/mol of atoms, total moment 0.00 μB/f.u., energy -10.02 eV per atom. Number 5: ΔH_f (0 K) 2.7 kcal/mol of atoms, total moment 0.86 μB/f.u., energy -10.06 eV per atom. Number 6: ΔH_f (0 K) 3.2 kcal/mol of atoms, total moment 0.10 μB/f.u., energy -10.05 eV per atom. Number 7: ΔH_f (0 K) 2.8 kcal/mol of atoms, total moment 2.19 μB/f.u., energy -10.06 eV per atom. Number 8: ΔH_f (0 K) 2.2 kcal/mol of atoms, total moment 2.85 μB/f.u., energy -10.09 eV per atom.